(1)
Crystalline LuCoBOs at its relaxed geometry, computed with PBE-GGA.

```
LuCoBOs
1.0
2.773 2.711 1.690
-1.301 2.875 2.818
1.111 -0.370 4.066
Lu Co Os B
1 1 1 1
Direct
0.500 0.500 0.500
0.750 0.750 0.750
0.250 0.250 0.250
0.000 0.000 0.000
```

* distance to the lowest polymorph of the same formula: 0.0 meV/atom
* magnetization: 0.00 μB/cell
* total energy: -6.8643 eV/atom

(2)
Crystalline LuCoBOs at its relaxed geometry, computed with PBE-GGA.

```
LuCoBOs
1.0
0.000 3.067 3.067
3.067 0.000 3.067
3.067 3.067 0.000
Co Os Lu B
1 1 1 1
Direct
0.750 0.750 0.750
0.500 0.500 0.500
0.250 0.250 0.250
0.000 0.000 0.000
```

* distance to the lowest polymorph of the same formula: 180.5 meV/atom
* magnetization: 3.05 μB/cell
* total energy: -6.6838 eV/atom

(3)
Crystalline LuCoBPd at its relaxed geometry, computed with PBE-GGA.

```
LuCoBPd
1.0
0.000 3.027 3.027
3.027 0.000 3.027
3.027 3.027 0.000
Co B Lu Pd
1 1 1 1
Direct
0.750 0.750 0.750
0.000 0.000 0.000
0.500 0.500 0.500
0.250 0.250 0.250
```

* distance to the lowest polymorph of the same formula: 0.0 meV/atom
* magnetization: 0.97 μB/cell
* total energy: -5.7258 eV/atom

(4)
Crystalline LuCoBPd at its relaxed geometry, computed with PBE-GGA.

```
LuCoBPd
1.0
-2.239 3.254 1.830
-0.841 3.614 -2.277
-4.064 0.852 -1.309
Co Lu B Pd
1 1 1 1
Direct
0.750 0.750 0.750
0.250 0.250 0.250
0.000 0.000 0.000
0.500 0.500 0.500
```

* distance to the lowest polymorph of the same formula: 83.8 meV/atom
* magnetization: 0.00 μB/cell
* total energy: -5.6420 eV/atom

(5)
Crystalline LuCoBPt at its relaxed geometry, computed with PBE-GGA.

```
LuCoBPt
1.0
3.116 -2.830 -0.879
2.622 -1.351 3.128
-0.289 -4.036 1.454
Co Pt B Lu
1 1 1 1
Direct
0.750 0.750 0.750
0.250 0.250 0.250
0.000 0.000 0.000
0.500 0.500 0.500
```

* distance to the lowest polymorph of the same formula: 0.0 meV/atom
* magnetization: 1.03 μB/cell
* total energy: -5.9976 eV/atom

(6)
Crystalline LuCoBPt at its relaxed geometry, computed with PBE-GGA.

```
LuCoBPt
1.0
0.000 3.099 3.099
3.099 0.000 3.099
3.099 3.099 0.000
Lu Co B Pt
1 1 1 1
Direct
0.250 0.250 0.250
0.750 0.750 0.750
0.000 0.000 0.000
0.500 0.500 0.500
```

* distance to the lowest polymorph of the same formula: 61.7 meV/atom
* magnetization: 1.58 μB/cell
* total energy: -5.9360 eV/atom

(7)
Crystalline LuScCoB at its relaxed geometry, computed with PBE-GGA.

```
LuScCoB
1.0
0.007 -3.254 2.819
-2.097 0.387 3.740
-3.601 -2.256 0.693
Sc Co B Lu
1 1 1 1
Direct
0.500 0.500 0.500
0.750 0.750 0.750
0.000 0.000 0.000
0.250 0.250 0.250
```

* distance to the lowest polymorph of the same formula: 0.0 meV/atom
* magnetization: 0.00 μB/cell
* total energy: -5.9305 eV/atom

(8)
Crystalline LuCoBW at its relaxed geometry, computed with PBE-GGA.

```
LuCoBW
1.0
3.859 0.224 -1.796
2.489 -3.458 -0.141
0.735 -1.946 -3.721
Co B Lu W
1 1 1 1
Direct
0.750 0.750 0.750
0.000 0.000 0.000
0.500 0.500 0.500
0.250 0.250 0.250
```

* distance to the lowest polymorph of the same formula: 0.0 meV/atom
* magnetization: 0.66 μB/cell
* total energy: -6.8876 eV/atom

(9)
Crystalline LuCoBW at its relaxed geometry, computed with PBE-GGA.

```
LuCoBW
1.0
0.000 3.081 3.081
3.081 0.000 3.081
3.081 3.081 0.000
Lu W Co B
1 1 1 1
Direct
0.250 0.250 0.250
0.500 0.500 0.500
0.750 0.750 0.750
0.000 0.000 0.000
```

* distance to the lowest polymorph of the same formula: 47.7 meV/atom
* magnetization: 2.79 μB/cell
* total energy: -6.8399 eV/atom

(10)
Crystalline Mg2CoB6 at its relaxed geometry, computed with PBE-GGA.

```
Mg2CoB6
1.0
-7.477 2.660 -3.723
-5.438 -2.237 9.321
0.555 3.030 1.051
Co B Mg
4 24 8
Direct
0.641 0.319 0.000
0.859 0.819 0.000
0.359 0.681 0.000
0.141 0.181 0.000
0.018 0.789 0.500
0.706 0.763 0.500
0.248 0.580 0.500
0.482 0.289 0.500
0.130 0.318 0.500
0.794 0.263 0.500
0.748 0.920 0.500
0.206 0.737 0.500
0.556 0.434 0.500
0.596 0.026 0.500
0.252 0.080 0.500
0.518 0.711 0.500
0.982 0.211 0.500
0.370 0.818 0.500
0.056 0.066 0.500
0.904 0.526 0.500
0.870 0.682 0.500
0.294 0.237 0.500
0.404 0.974 0.500
0.752 0.420 0.500
0.630 0.182 0.500
0.444 0.566 0.500
0.944 0.934 0.500
0.096 0.474 0.500
0.324 0.415 0.000
0.176 0.915 0.000
0.443 0.130 0.000
0.824 0.085 0.000
0.676 0.585 0.000
0.057 0.630 0.000
0.943 0.370 0.000
0.557 0.870 0.000
```

* magnetization: 0.01 μB/cell
* total energy: -5.8046 eV/atom

(11)
Crystalline MgCoB2 at its relaxed geometry, computed with PBE-GGA.

```
MgCoB2
1.0
-1.891 -2.982 -1.252
-3.741 -0.061 0.191
-2.040 0.255 -3.132
Co B Mg
1 2 1
Direct
0.250 0.250 0.250
0.750 0.750 0.750
0.000 0.000 0.000
0.500 0.500 0.500
```

* magnetization: 0.00 μB/cell
* total energy: -4.5526 eV/atom

(12)
Crystalline MgCo2B at its relaxed geometry, computed with PBE-GGA.

```
MgCo2B
1.0
0.967 -0.783 3.729
-2.729 0.200 2.822
-1.297 -3.290 1.717
Co Mg B
2 1 1
Direct
0.000 0.000 0.000
0.750 0.750 0.750
0.250 0.250 0.250
0.500 0.500 0.500
```

* magnetization: 0.01 μB/cell
* total energy: -5.1453 eV/atom

Copy entry 2 word for word.
Crystalline LuCoBOs at its relaxed geometry, computed with PBE-GGA.

```
LuCoBOs
1.0
0.000 3.067 3.067
3.067 0.000 3.067
3.067 3.067 0.000
Co Os Lu B
1 1 1 1
Direct
0.750 0.750 0.750
0.500 0.500 0.500
0.250 0.250 0.250
0.000 0.000 0.000
```

* distance to the lowest polymorph of the same formula: 180.5 meV/atom
* magnetization: 3.05 μB/cell
* total energy: -6.6838 eV/atom

What did the eleventh record say?
Crystalline MgCoB2 at its relaxed geometry, computed with PBE-GGA.

```
MgCoB2
1.0
-1.891 -2.982 -1.252
-3.741 -0.061 0.191
-2.040 0.255 -3.132
Co B Mg
1 2 1
Direct
0.250 0.250 0.250
0.750 0.750 0.750
0.000 0.000 0.000
0.500 0.500 0.500
```

* magnetization: 0.00 μB/cell
* total energy: -4.5526 eV/atom

The lowest total energy belongs to which entry? number 8

Which value of total energy does entry 4 give? -5.6420 eV/atom